Computed, not measured: an optimized crystal structure of LaCrIn2 at the GGA-PBE level of DFT.

## Properties
Energy of formation, eV per atom: 0.18

Cell lengths 10.2761, 10.2761, 10.2761 Å; angles 19.07, 19.07, 19.07 degrees
Last column: nearest neighbours and their distance in Å.
Fractional coordinates of all 4 atoms:
In: 0.4881 0.4881 0.4881  3 Cr 2.92
In: 0.0119 0.0119 0.0119  3 Cr 2.92
Cr: 0.7500 0.7500 0.7500  6 In 2.92
La: 0.2500 0.2500 0.2500  6 La 3.40, 6 In 3.49

***

Computed, not measured: an optimized crystal structure of CuTc at the GGA-PBE level of DFT.

## Properties
Energy of formation, eV per atom: 0.30
Energy above the most stable polymorph in this dataset, kJ/mol of atoms: 20.0

Cell lengths 4.6392, 5.0767, 9.2506 Å; angles 90.00, 90.00, 90.00 degrees
Last column: nearest neighbours and their distance in Å.
Fractional coordinates of all 16 atoms:
Tc: 0.8370 0.4977 0.1872  3 Tc 2.51-2.61, 7 Cu 2.57-2.80
Tc: 0.1630 0.9977 0.3128  3 Tc 2.51-2.61, 7 Cu 2.57-2.80
Tc: 0.3139 0.8059 0.5629  5 Tc 2.51-2.66, 5 Cu 2.63-2.77
Tc: 0.3370 0.0023 0.8128  3 Tc 2.51-2.61, 7 Cu 2.57-2.80
Tc: 0.6861 0.3059 0.9371  5 Tc 2.51-2.66, 5 Cu 2.63-2.77
Tc: 0.1861 0.1941 0.0629  5 Tc 2.51-2.66, 5 Cu 2.63-2.77
Tc: 0.6630 0.5023 0.6872  3 Tc 2.51-2.61, 7 Cu 2.57-2.80
Tc: 0.8139 0.6941 0.4371  5 Tc 2.51-2.66, 5 Cu 2.63-2.77
Cu: 0.3297 0.4990 0.3150  3 Cu 2.48-2.58, 6 Tc 2.57-2.77
Cu: 0.8404 0.8084 0.9410  5 Cu 2.48-2.63, 5 Tc 2.63-2.77
Cu: 0.6596 0.1916 0.4410  5 Cu 2.48-2.63, 5 Tc 2.63-2.77
Cu: 0.1703 0.5010 0.8150  3 Cu 2.48-2.58, 6 Tc 2.57-2.77
Cu: 0.1596 0.3084 0.5590  5 Cu 2.48-2.63, 5 Tc 2.63-2.77
Cu: 0.6703 0.9990 0.1850  3 Cu 2.48-2.58, 6 Tc 2.57-2.77
Cu: 0.8297 0.0010 0.6850  3 Cu 2.48-2.58, 6 Tc 2.57-2.77
Cu: 0.3404 0.6916 0.0590  5 Cu 2.48-2.63, 5 Tc 2.63-2.77

***

Computed, not measured: an optimized crystal structure of NaPrSnO4 at the GGA-PBE level of DFT.

## Properties
E_form (uncorrected), kJ/mol of atoms: -210.7

Cell lengths 4.0441, 4.0441, 6.8354 Å; angles 107.21, 107.21, 90.00 degrees
Last column: nearest neighbours and their distance in Å.
Fractional coordinates of all 7 atoms:
Pr: 0.3539 0.3539 0.7078  1 O 2.25
O: 0.9857 0.4857 0.9714  2 Sn 2.04
O: 0.4857 0.9857 0.9714  2 Sn 2.04
O: 0.1723 0.1723 0.3446  1 Sn 2.02, 1 Pr 2.25
O: 0.8367 0.8367 0.6734  1 Sn 2.15, 1 Na 2.25
Sn: 0.0098 0.0098 0.0197  6 O 2.02-2.15
Na: 0.6559 0.6559 0.3118  1 O 2.25

***

Computed, not measured: an optimized crystal structure of Rb2Na5Pb4 at the GGA-PBE level of DFT.

## Properties
Energy of formation, eV per atom: -0.09

Cell lengths 7.6352, 8.9547, 7.5270 Å; angles 82.10, 59.52, 64.77 degrees
Last column: nearest neighbours and their distance in Å.
Fractional coordinates of all 11 atoms:
Pb: 0.2603 0.4668 0.0127  5 Na 3.15-3.36, 1 Pb 3.20
Pb: 0.3212 0.1291 0.2285  2 Pb 3.20-3.45, 5 Na 3.31-3.43
Pb: 0.6788 0.8709 0.7715  2 Pb 3.20-3.45, 5 Na 3.31-3.43
Pb: 0.7397 0.5332 0.9873  5 Na 3.15-3.36, 1 Pb 3.20
Rb: 0.6812 0.2521 0.3854  1 Pb 3.61, 4 Na 3.63-4.00
Rb: 0.3188 0.7479 0.6146  1 Pb 3.61, 4 Na 3.63-4.00
Na: 0.7828 0.8124 0.1751  4 Pb 3.24-3.43, 1 Na 3.41, 1 Rb 3.63
Na: 0.7703 0.1876 0.8249  4 Pb 3.24-3.43, 1 Na 3.41, 1 Rb 3.63
Na: 0.2297 0.8124 0.1751  4 Pb 3.24-3.43, 1 Na 3.41, 1 Rb 3.63
Na: 0.2172 0.1876 0.8249  4 Pb 3.24-3.43, 1 Na 3.41, 1 Rb 3.63
Na: 0.0000 0.5000 0.5000  4 Pb 3.15-3.33

***

Number 1: uncorrected energy -4.8306 eV/atom. Number 2: uncorrected energy -6.9305 eV/atom. Number 3: uncorrected energy -6.4606 eV/atom. Number 4: uncorrected energy -2.2102 eV/atom.